# PBE-GGA La2SmB2N4, relaxed
# VASP energy (Ry per atom): -0.597
data_La2SmB2N4
_cell_length_a 3.534
_cell_length_b 6.332
_cell_length_c 10.965
_cell_angle_alpha 90.00
_cell_angle_beta 90.00
_cell_angle_gamma 90.00
_symmetry_space_group_name_H-M 'I m m m'
_symmetry_Int_Tables_number 71
_symmetry_space_group_name_Hall '-I 2 2'
loop_
_atom_site_label
_atom_site_type_symbol
_atom_site_fract_x
_atom_site_fract_y
_atom_site_fract_z
La1 La 0.000 0.000 0.201
Sm1 Sm 0.000 0.500 0.000
B1 B 0.000 0.356 0.500
N1 N 0.000 0.240 0.383